1.
# ScPd6

A relaxed ScPd6 crystal (GGA-PBE, Alexandria via LeMat-Bulk).

Values from the calculation:
**D(E_F)**: 30.3 states/eV per cell
**Space-group type**: Im-3m
**Calculated total energy**: -63.85 eV/cell

Lattice parameters (Å, degrees): 6.962 6.962 6.962 90.00 90.00 90.00
Sites, in units of the cell vectors:
Sc 0.000 0.000 0.000
Sc 0.500 0.500 0.500
Pd 0.000 0.250 0.500
Pd 0.000 0.500 0.250
Pd 0.000 0.500 0.750
Pd 0.000 0.750 0.500
Pd 0.250 0.000 0.500
Pd 0.250 0.500 0.000
Pd 0.500 0.000 0.250
Pd 0.500 0.000 0.750
Pd 0.500 0.250 0.000
Pd 0.500 0.750 0.000
Pd 0.750 0.000 0.500
Pd 0.750 0.500 0.000


2.
# BaZr2IrOs

A relaxed BaZr2IrOs crystal (GGA-PBE, Alexandria via LeMat-Bulk).

Values from the calculation:
**D(E_F)**: 6.2 states/eV per cell
**Space-group type**: P4/mmm
**Calculated total energy**: -25.95 eV/cell

Lattice parameters (Å, degrees): 5.148 5.148 4.855 90.00 90.00 90.00
Sites, in units of the cell vectors:
Ba 0.000 0.000 0.000
Zr 0.000 0.500 0.000
Zr 0.500 0.000 0.000
Ir 0.000 0.000 0.500
Os 0.500 0.500 0.500


Number 1: E_form 77 kJ per mole of atoms. Number 2: E_form 254 kJ per mole of atoms.